BaMgCd PBE optimized geometry; space-group type = F-43m; E_form = 0.260 eV/atom; D(E_F) = 3.85 states/eV per cell
1.0
0.0000 4.0121 4.0121
4.0121 0.0000 4.0121
4.0121 4.0121 0.0000
Ba Mg Cd
1 1 1
direct
0.0000 0.0000 0.0000
0.7500 0.7500 0.7500
0.2500 0.2500 0.2500

VBi3W PBE optimized geometry; ΔE to the lowest computed polymorph = 145 meV/atom; space-group type = Pm-3m; E_form = 1.380 eV/atom; D(E_F) = 4.30 states/eV per cell
1.0
5.2400 0.0000 0.0000
0.0000 5.2400 0.0000
0.0000 0.0000 5.2400
V Bi W
1 3 1
direct
0.0000 0.0000 0.0000
0.0000 0.0000 0.5000
0.0000 0.5000 0.0000
0.5000 0.0000 0.0000
0.5000 0.5000 0.5000

MnAgWS2 PBE optimized geometry; formation energy from raw total energies = 0.971 eV per atom; space-group type = P4/mmm; D(E_F) = 4.94 states/eV per cell
1.0
4.2898 0.0000 0.0000
0.0000 4.2898 0.0000
0.0000 0.0000 4.7551
Mn Ag W S
1 1 1 2
direct
0.0000 0.0000 0.0000
0.5000 0.5000 0.5000
0.0000 0.0000 0.5000
0.0000 0.5000 0.0000
0.5000 0.0000 0.0000

Ac3Ga2Ir2N3 PBE optimized geometry; formation energy from raw total energies = -0.817 eV per atom; space-group type = I4/mmm; D(E_F) = 2.98 states/eV per cell
1.0
-1.9957 1.9957 12.2281
1.9957 -1.9957 12.2281
1.9957 1.9957 -12.2281
Ac Ga Ir N
3 2 2 3
direct
0.0000 0.0000 0.0000
0.3886 0.3886 0.0000
0.6114 0.6114 0.0000
0.2500 0.7500 0.5000
0.7500 0.2500 0.5000
0.1852 0.1852 0.0000
0.8148 0.8148 0.0000
0.1041 0.1041 0.0000
0.5000 0.5000 0.0000
0.8959 0.8959 0.0000

ErCuPt3 PBE optimized geometry; ΔE to the lowest computed polymorph = 0 meV/atom; space-group type = Pmmn; E_form = -0.591 eV/atom; D(E_F) = 7.73 states/eV per cell
1.0
4.4156 0.0000 0.0000
0.0000 6.4650 0.0000
0.0000 0.0000 6.1202
Er Cu Pt
2 2 6
direct
0.2500 0.2500 0.2396
0.7500 0.7500 0.7604
0.2500 0.7500 0.4479
0.7500 0.2500 0.5521
0.2500 0.0487 0.7214
0.2500 0.4513 0.7214
0.2500 0.7500 0.0462
0.7500 0.2500 0.9538
0.7500 0.5487 0.2786
0.7500 0.9513 0.2786

GdThZnFe PBE optimized geometry; space-group type = F-43m; E_form = -0.031 eV/atom; D(E_F) = 5.73 states/eV per cell
1.0
0.0000 3.5474 3.5474
3.5474 0.0000 3.5474
3.5474 3.5474 0.0000
Gd Th Zn Fe
1 1 1 1
direct
0.0000 0.0000 0.0000
0.5000 0.5000 0.5000
0.7500 0.7500 0.7500
0.2500 0.2500 0.2500

La3Pm8Tl PBE optimized geometry; space-group type = I-42m; E_form = 0.415 eV/atom; D(E_F) = 18.30 states/eV per cell
1.0
-4.3797 4.3797 5.7883
4.3797 -4.3797 5.7883
4.3797 4.3797 -5.7883
La Pm Tl
3 8 1
direct
0.0000 0.0000 0.0000
0.2500 0.7500 0.5000
0.7500 0.2500 0.5000
0.1226 0.1226 0.7500
0.2332 0.2332 0.4928
0.2595 0.7668 0.0000
0.3726 0.3726 0.2500
0.6274 0.8774 0.0000
0.7405 0.7405 0.5072
0.7668 0.2595 0.0000
0.8774 0.6274 0.0000
0.5000 0.5000 0.0000

BaBPd2 PBE optimized geometry; space-group type = I4_1/amd; E_form = -0.237 eV/atom; D(E_F) = 5.95 states/eV per cell
1.0
-2.6621 2.6621 6.6041
2.6621 -2.6621 6.6041
2.6621 2.6621 -6.6041
Ba B Pd
2 2 4
direct
0.3750 0.6250 0.7500
0.6250 0.3750 0.2500
0.1250 0.8750 0.2500
0.8750 0.1250 0.7500
0.0000 0.0000 0.0000
0.0000 0.0000 0.5000
0.0000 0.5000 0.0000
0.5000 0.0000 0.5000